{
  "formula": "Mn3BiS",
  "functional": "PBE",
  "state": "optimized geometry",
  "cell": [[-3.350, 2.004, 2.036], [-2.727, -1.310, -3.198], [-0.850, -3.694, 2.238]],
  "species": ["Mn", "Mn", "Mn", "Bi", "S"],
  "frac_coords": [[0.000, 0.500, 0.000], [0.000, 0.000, 0.500], [0.500, 0.000, 0.000], [0.500, 0.500, 0.500], [0.000, 0.000, 0.000]],
  "e_above_lowest_polymorph_ev_per_fu": 0.000,
  "final_energy_ry_per_atom": -0.5061
}

{
  "formula": "MnBi3S",
  "functional": "PBE",
  "state": "optimized geometry",
  "cell": [[-4.703, -2.014, -1.633], [2.498, -4.425, -1.737], [-0.694, -2.281, 4.812]],
  "species": ["Bi", "Bi", "Bi", "S", "Mn"],
  "frac_coords": [[0.000, 0.000, 0.500], [0.000, 0.500, 0.000], [0.500, 0.000, 0.000], [0.000, 0.000, 0.000], [0.500, 0.500, 0.500]],
  "e_above_lowest_polymorph_ev_per_fu": 1.287,
  "final_energy_ry_per_atom": -0.3156
}

{
  "formula": "MnBiS3",
  "functional": "PBE",
  "state": "optimized geometry",
  "cell": [[-2.026, 2.913, -1.068], [-5.944, -4.263, -0.348], [-0.928, 2.116, 7.530]],
  "species": ["S", "S", "S", "S", "S", "S", "Bi", "Bi", "Mn", "Mn"],
  "frac_coords": [[0.250, 0.713, 0.054], [0.250, 0.362, 0.599], [0.750, 0.638, 0.401], [0.750, 0.287, 0.946], [0.750, 0.068, 0.334], [0.250, 0.932, 0.666], [0.750, 0.617, 0.801], [0.250, 0.383, 0.199], [0.250, 0.849, 0.361], [0.750, 0.151, 0.639]],
  "e_above_lowest_polymorph_ev_per_fu": 0.000,
  "final_energy_ry_per_atom": -0.4006
}

{
  "formula": "Mn3BiS",
  "functional": "PBE",
  "state": "optimized geometry",
  "cell": [[5.223, 0.000, 0.000], [0.000, 5.223, 0.000], [0.000, 0.000, 5.223]],
  "species": ["Mn", "Mn", "Mn", "S", "Bi"],
  "frac_coords": [[0.000, 0.000, 0.500], [0.000, 0.500, 0.000], [0.500, 0.000, 0.000], [0.500, 0.500, 0.500], [0.000, 0.000, 0.000]],
  "e_above_lowest_polymorph_ev_per_fu": 4.856,
  "final_energy_ry_per_atom": -0.4347
}

{
  "formula": "MnBiS",
  "functional": "PBE",
  "state": "optimized geometry",
  "cell": [[-4.845, 3.504, 3.251], [-1.902, -3.689, -2.285], [-4.557, -3.128, 3.971]],
  "species": ["S", "S", "Bi", "Bi", "Mn", "Mn"],
  "frac_coords": [[0.866, 0.500, 0.134], [0.366, 0.500, 0.634], [0.616, 0.000, 0.884], [0.116, 0.000, 0.384], [0.366, 0.000, 0.634], [0.866, 0.000, 0.134]],
  "final_energy_ry_per_atom": -0.4328
}

{
  "formula": "MnBiS4",
  "functional": "PBE",
  "state": "optimized geometry",
  "cell": [[-1.256, 0.630, -5.275], [-1.033, -7.812, 4.845], [-4.556, 5.314, 1.778]],
  "species": ["Mn", "Mn", "S", "S", "S", "S", "S", "S", "S", "S", "Bi", "Bi"],
  "frac_coords": [[0.293, 0.043, 0.085], [0.707, 0.957, 0.915], [0.988, 0.796, 0.187], [0.372, 0.972, 0.760], [0.012, 0.204, 0.813], [0.699, 0.391, 0.187], [0.112, 0.212, 0.240], [0.301, 0.609, 0.813], [0.888, 0.788, 0.760], [0.628, 0.028, 0.240], [0.664, 0.414, 0.828], [0.336, 0.586, 0.172]],
  "final_energy_ry_per_atom": -0.3734
}

{
  "formula": "MnBi2S4",
  "functional": "PBE",
  "state": "optimized geometry",
  "cell": [[-5.564, -0.630, -5.712], [-5.743, 0.256, 5.561], [-5.838, 5.450, -0.521]],
  "species": ["S", "S", "S", "S", "S", "S", "S", "S", "Bi", "Bi", "Bi", "Bi", "Mn", "Mn"],
  "frac_coords": [[0.249, 0.748, 0.001], [0.751, 0.749, 0.501], [0.249, 0.251, 0.001], [0.752, 0.251, 0.499], [0.751, 0.252, 0.999], [0.751, 0.749, 0.999], [0.249, 0.251, 0.499], [0.248, 0.749, 0.501], [0.500, 0.000, 0.500], [0.000, 0.000, 0.000], [0.500, 0.500, 0.500], [0.500, 0.000, 0.000], [0.125, 0.375, 0.250], [0.875, 0.625, 0.750]],
  "e_above_lowest_polymorph_ev_per_fu": 0.000,
  "final_energy_ry_per_atom": -0.3802
}

{
  "formula": "MnBiS2",
  "functional": "PBE",
  "state": "optimized geometry",
  "cell": [[-1.713, -2.145, -2.010], [1.358, -3.008, -0.826], [-3.544, -5.038, 5.518]],
  "species": ["S", "S", "Mn", "Bi"],
  "frac_coords": [[0.057, 0.057, 0.830], [0.280, 0.280, 0.161], [0.667, 0.667, 0.998], [0.497, 0.497, 0.510]],
  "final_energy_ry_per_atom": -0.4146
}

{
  "formula": "MnBi2S4",
  "functional": "PBE",
  "state": "optimized geometry",
  "cell": [[4.591, 0.000, 0.000], [0.000, 4.591, 0.000], [2.295, 2.295, 7.327]],
  "species": ["Bi", "Bi", "S", "S", "S", "S", "Mn"],
  "frac_coords": [[0.639, 0.639, 0.721], [0.361, 0.361, 0.279], [0.500, 0.000, 0.000], [0.000, 0.500, 0.000], [0.824, 0.824, 0.352], [0.176, 0.176, 0.648], [0.000, 0.000, 0.000]],
  "e_above_lowest_polymorph_ev_per_fu": 1.509,
  "final_energy_ry_per_atom": -0.3643
}

{
  "formula": "Mn2BiS2",
  "functional": "PBE",
  "state": "optimized geometry",
  "cell": [[-2.765, 1.407, -3.262], [-0.898, -4.277, -1.084], [-5.407, -1.451, 0.850]],
  "species": ["Mn", "Mn", "Bi", "S", "S"],
  "frac_coords": [[0.344, 0.344, 0.312], [0.656, 0.656, 0.688], [0.000, 0.000, 0.000], [0.750, 0.250, 0.500], [0.250, 0.750, 0.500]],
  "final_energy_ry_per_atom": -0.4466
}

{
  "formula": "MnBiS3",
  "functional": "PBE",
  "state": "optimized geometry",
  "cell": [[-3.351, 2.074, -2.210], [-2.724, -3.505, 0.841], [-1.328, 1.957, 3.850]],
  "species": ["Mn", "Bi", "S", "S", "S"],
  "frac_coords": [[0.000, 0.000, 0.000], [0.500, 0.500, 0.500], [0.000, 0.500, 0.000], [0.000, 0.000, 0.500], [0.500, 0.000, 0.000]],
  "e_above_lowest_polymorph_ev_per_fu": 2.374,
  "final_energy_ry_per_atom": -0.3657
}

{
  "formula": "Mn5Bi3S12",
  "functional": "PBE",
  "state": "optimized geometry",
  "cell": [[13.098, 0.000, 0.000], [-4.366, 12.349, 0.000], [-4.366, -6.174, 10.695]],
  "species": ["Mn", "Mn", "Mn", "Mn", "Mn", "Mn", "Mn", "Mn", "Mn", "Mn", "Mn", "Mn", "Mn", "Mn", "Mn", "Mn", "Mn", "Mn", "Mn", "Mn", "S", "S", "S", "S", "S", "S", "S", "S", "S", "S", "S", "S", "S", "S", "S", "S", "S", "S", "S", "S", "S", "S", "S", "S", "S", "S", "S", "S", "S", "S", "S", "S", "S", "S", "S", "S", "S", "S", "S", "S", "S", "S", "S", "S", "S", "S", "S", "S", "Bi", "Bi", "Bi", "Bi", "Bi", "Bi", "Bi", "Bi", "Bi", "Bi", "Bi", "Bi"],
  "frac_coords": [[0.750, 0.125, 0.875], [0.500, 0.500, 0.000], [0.625, 0.875, 0.250], [0.500, 0.000, 0.500], [0.500, 0.500, 0.500], [0.375, 0.125, 0.750], [0.875, 0.250, 0.625], [0.125, 0.375, 0.250], [0.000, 0.500, 0.000], [0.125, 0.750, 0.375], [0.625, 0.750, 0.875], [0.875, 0.625, 0.750], [0.250, 0.875, 0.125], [0.250, 0.375, 0.625], [0.000, 0.000, 0.500], [0.000, 0.000, 0.000], [0.000, 0.500, 0.500], [0.375, 0.250, 0.125], [0.500, 0.000, 0.000], [0.750, 0.625, 0.375], [0.825, 0.917, 0.298], [0.325, 0.798, 0.417], [0.382, 0.974, 0.798], [0.474, 0.798, 0.882], [0.917, 0.092, 0.618], [0.202, 0.526, 0.618], [0.175, 0.092, 0.974], [0.583, 0.702, 0.675], [0.083, 0.175, 0.202], [0.408, 0.382, 0.583], [0.092, 0.917, 0.118], [0.298, 0.882, 0.974], [0.118, 0.417, 0.092], [0.382, 0.408, 0.083], [0.592, 0.618, 0.417], [0.618, 0.026, 0.202], [0.417, 0.118, 0.592], [0.592, 0.974, 0.675], [0.118, 0.702, 0.526], [0.882, 0.583, 0.908], [0.526, 0.325, 0.908], [0.908, 0.825, 0.526], [0.675, 0.474, 0.592], [0.083, 0.908, 0.382], [0.908, 0.083, 0.882], [0.417, 0.298, 0.325], [0.825, 0.908, 0.026], [0.526, 0.202, 0.118], [0.798, 0.474, 0.382], [0.474, 0.675, 0.092], [0.974, 0.592, 0.175], [0.325, 0.526, 0.408], [0.202, 0.675, 0.083], [0.026, 0.408, 0.825], [0.882, 0.298, 0.474], [0.974, 0.382, 0.298], [0.092, 0.175, 0.474], [0.798, 0.325, 0.917], [0.675, 0.202, 0.583], [0.026, 0.618, 0.702], [0.583, 0.882, 0.408], [0.618, 0.592, 0.917], [0.408, 0.026, 0.325], [0.175, 0.083, 0.702], [0.702, 0.583, 0.175], [0.298, 0.417, 0.825], [0.702, 0.118, 0.026], [0.917, 0.825, 0.798], [0.625, 0.250, 0.375], [0.250, 0.625, 0.875], [0.750, 0.875, 0.625], [0.125, 0.875, 0.750], [0.750, 0.375, 0.125], [0.375, 0.625, 0.250], [0.625, 0.375, 0.750], [0.375, 0.750, 0.625], [0.125, 0.250, 0.875], [0.875, 0.750, 0.125], [0.875, 0.125, 0.250], [0.250, 0.125, 0.375]],
  "final_energy_ry_per_atom": -0.4221
}

Number 1: formation energy (no corrections) 218 meV/atom. Number 2: formation energy (no corrections) 694 meV/atom. Number 3: formation energy (no corrections) -363 meV/atom. Number 4: formation energy (no corrections) 1189 meV/atom. Number 5: formation energy (no corrections) -163 meV/atom. Number 6: formation energy (no corrections) -153 meV/atom. Number 7: formation energy (no corrections) -395 meV/atom. Number 8: formation energy (no corrections) -315 meV/atom. Number 9: formation energy (no corrections) -179 meV/atom. Number 10: formation energy (no corrections) 18 meV/atom. Number 11: formation energy (no corrections) 111 meV/atom. Number 12: formation energy (no corrections) -392 meV/atom.